This record from Alexandria via LeMat-Bulk describes a relaxed structure of CrBr2F. The functional is GGA+U.

The structure in extended XYZ format:
```
8
Lattice="-4.730 -8.334 0.122 7.850 -4.407 3.286 0.986 -6.017 3.550" Properties=species:S:1:pos:R:3 pbc="T T T"
Cr 0.000 0.000 0.000
Cr -1.092 -10.361 2.688
Br 0.566 -12.341 3.059
Br -3.162 -11.939 2.868
Br 0.691 -8.607 3.430
Br -2.463 -8.558 1.393
F 1.560 -6.370 1.704
F 5.198 -8.397 4.269
```

Calculated values
energy above the lowest structure with this stoichiometry: 0 meV/atom